Record 1
The following is a DFT calculation (GGA-PBEsol) of a geometry-optimized Ba2V2Te2O11 structure.

Results
As for the total energy: -250.68 eV per cell. For the uncorrected formation energy, the calculation gives -36.979 eV/f.u.

Lattice parameters (Å, degrees): 7.468 7.648 9.539 90.00 93.75 90.00
Space group P2_1/m (No. 11)
Asymmetric unit:
Ba  0.126  0.250  0.358 [2 per cell]
Ba  0.134  0.750  0.074 [2 per cell]
V  0.320  0.750  0.487 [2 per cell]
V  0.391  0.250  0.080 [2 per cell]
Te  0.294  0.034  0.740 [4 per cell]
O  0.082  0.518  0.823 [4 per cell]
O  0.197  0.567  0.548 [4 per cell]
O  0.199  0.250  0.647 [2 per cell]
O  0.297  0.073  0.146 [4 per cell]
O  0.338  0.750  0.315 [2 per cell]
O  0.348  0.250  0.892 [2 per cell]
O  0.380  0.750  0.873 [2 per cell]
O  0.482  0.250  0.426 [2 per cell]

=====

Record 2
The following is a DFT calculation (GGA-PBEsol) of a geometry-optimized Y5Tl3 structure.

Results
The calculated formation energy comes out at -336 meV per atom. As for the total energy: -89.38 eV per cell.

Lattice parameters (Å, degrees): 8.043 10.878 5.023 90.00 90.00 90.00
Space group Cmmm (No. 65)
Asymmetric unit:
Y  0.000  0.000  0.000 [2 per cell]
Y  0.212  0.500  0.500 [4 per cell]
Y  0.250  0.250  0.000 [4 per cell]
Tl  0.000  0.200  0.500 [4 per cell]
Tl  0.000  0.500  0.000 [2 per cell]